Record 1
Here is a relaxed LiHoEr2S4 crystal from Alexandria via LeMat-Bulk. Energies are from PBE.

Cell and atoms, written as CIF:
```
data_LiHoEr2S4
_space_group_name_H-M_alt 'P 1'
_space_group_IT_number 1
_space_group_name_Hall 'P 1'
_cell_length_a 6.670
_cell_length_b 3.845
_cell_length_c 6.671
_cell_angle_alpha 90.00
_cell_angle_beta 109.36
_cell_angle_gamma 90.00
loop_
_atom_site_label
_atom_site_fract_x
_atom_site_fract_y
_atom_site_fract_z
_atom_site_occupancy
Li1 0.000 0.000 0.000 1
Ho1 0.000 0.500 0.500 1
Er1 0.500 0.000 0.500 1
Er2 0.500 0.500 0.000 1
S1 0.247 0.000 0.755 1
S2 0.247 0.500 0.246 1
S3 0.753 0.000 0.245 1
S4 0.753 0.500 0.754 1
```

Formation energy from raw total energies   -1.927 eV per atom
Calculated total energy   -5.94 eV/atom
SG   P2/m (10)
Volume   161.4 Å³/cell

=====

Record 2
Here is a relaxed TmMg2Hg5 crystal from Alexandria via LeMat-Bulk. Energies are from PBE.

Cell and atoms, written as CIF:
```
data_TmMg2Hg5
_space_group_name_H-M_alt 'P 1'
_space_group_IT_number 1
_space_group_name_Hall 'P 1'
_cell_length_a 8.297
_cell_length_b 8.297
_cell_length_c 8.297
_cell_angle_alpha 124.30
_cell_angle_beta 124.30
_cell_angle_gamma 82.71
loop_
_atom_site_label
_atom_site_fract_x
_atom_site_fract_y
_atom_site_fract_z
_atom_site_occupancy
Tm1 0.250 0.250 0.000 1
Tm2 0.750 0.750 0.000 1
Mg1 0.151 0.651 0.802 1
Mg2 0.349 0.151 0.500 1
Mg3 0.651 0.849 0.500 1
Mg4 0.849 0.349 0.198 1
Hg1 0.000 0.000 0.000 1
Hg2 0.007 0.805 0.500 1
Hg3 0.195 0.695 0.203 1
Hg4 0.305 0.507 0.500 1
Hg5 0.493 0.993 0.797 1
Hg6 0.500 0.500 0.000 1
Hg7 0.507 0.007 0.203 1
Hg8 0.695 0.493 0.500 1
Hg9 0.805 0.305 0.797 1
Hg10 0.993 0.195 0.500 1
```

Calculated formation energy   -214 meV/atom
Excess energy over the best structure of this formula in the dataset   29 meV per atom
Calculated total energy   -1.36 eV/atom
SG   I4/mcm (140)
Volume   374.3 Å³/cell

=====

Record 3
Here is a relaxed Ti2SnHg2 crystal from Alexandria via LeMat-Bulk. Energies are from PBE.

Cell and atoms, written as CIF:
```
data_Ti2SnHg2
_space_group_name_H-M_alt 'P 1'
_space_group_IT_number 1
_space_group_name_Hall 'P 1'
_cell_length_a 8.261
_cell_length_b 8.261
_cell_length_c 3.095
_cell_angle_alpha 90.00
_cell_angle_beta 90.00
_cell_angle_gamma 90.00
loop_
_atom_site_label
_atom_site_fract_x
_atom_site_fract_y
_atom_site_fract_z
_atom_site_occupancy
Ti1 0.118 0.382 0.000 1
Ti2 0.382 0.882 0.000 1
Ti3 0.618 0.118 0.000 1
Ti4 0.882 0.618 0.000 1
Sn1 0.000 0.000 0.500 1
Sn2 0.500 0.500 0.500 1
Hg1 0.175 0.675 0.500 1
Hg2 0.325 0.175 0.500 1
Hg3 0.675 0.825 0.500 1
Hg4 0.825 0.325 0.500 1
```

Calculated formation energy   122 meV/atom
Excess energy over the best structure of this formula in the dataset   72 meV per atom
Calculated total energy   -3.96 eV/atom
SG   P4/mbm (127)
Volume   211.2 Å³/cell

=====

Record 4
Here is a relaxed B2C crystal from Alexandria via LeMat-Bulk. Energies are from PBE.

Cell and atoms, written as CIF:
```
data_B2C
_space_group_name_H-M_alt 'P 1'
_space_group_IT_number 1
_space_group_name_Hall 'P 1'
_cell_length_a 5.947
_cell_length_b 5.947
_cell_length_c 5.635
_cell_angle_alpha 96.21
_cell_angle_beta 96.21
_cell_angle_gamma 26.32
loop_
_atom_site_label
_atom_site_fract_x
_atom_site_fract_y
_atom_site_fract_z
_atom_site_occupancy
B1 0.000 0.000 0.000 1
B2 0.003 0.003 0.363 1
B3 0.173 0.173 0.392 1
B4 0.341 0.341 0.030 1
B5 0.579 0.579 0.491 1
B6 0.613 0.613 0.205 1
B7 0.664 0.664 0.776 1
B8 0.852 0.852 0.453 1
C1 0.253 0.253 0.794 1
C2 0.301 0.301 0.543 1
C3 0.558 0.558 0.941 1
C4 0.888 0.888 0.157 1
```

Calculated formation energy   375 meV/atom
Excess energy over the best structure of this formula in the dataset   190 meV per atom
Calculated total energy   -7.15 eV/atom
SG   Cm (8)
Volume   87.8 Å³/cell

=====

Record 5
Here is a relaxed K2InSn3 crystal from Alexandria via LeMat-Bulk. Energies are from PBE.

Cell and atoms, written as CIF:
```
data_K2InSn3
_space_group_name_H-M_alt 'P 1'
_space_group_IT_number 1
_space_group_name_Hall 'P 1'
_cell_length_a 10.090
_cell_length_b 9.785
_cell_length_c 7.415
_cell_angle_alpha 70.30
_cell_angle_beta 65.92
_cell_angle_gamma 43.78
loop_
_atom_site_label
_atom_site_fract_x
_atom_site_fract_y
_atom_site_fract_z
_atom_site_occupancy
K1 0.247 0.753 0.247 1
K2 0.250 0.250 0.250 1
K3 0.750 0.750 0.750 1
K4 0.753 0.247 0.753 1
In1 0.333 0.333 0.667 1
In2 0.667 0.667 0.333 1
Sn1 0.167 0.167 0.833 1
Sn2 0.168 0.664 0.832 1
Sn3 0.336 0.832 0.664 1
Sn4 0.664 0.168 0.336 1
Sn5 0.832 0.336 0.168 1
Sn6 0.833 0.833 0.167 1
```

Calculated formation energy   -128 meV/atom
Excess energy over the best structure of this formula in the dataset   83 meV per atom
Calculated total energy   -2.95 eV/atom
SG   Fmmm (69)
Volume   461.3 Å³/cell